Entry 1:
Entry from OQMD: a relaxed structure of Rb2Pd3S4 (PBE-GGA). Values from VASP.

Properties
E_tot: -4.507 eV per atom

```
&SYSTEM
  ibrav = 0, nat = 9, ntyp = 3
/
ATOMIC_SPECIES
Rb 85.47 Rb.upf
Pd 106.42 Pd.upf
S 32.06 S.upf
CELL_PARAMETERS angstrom
0.000 5.356 6.750
3.186 0.000 6.750
3.186 5.356 0.000
ATOMIC_POSITIONS angstrom
Rb 3.186 5.356 2.116
Rb 3.186 5.356 11.384
Pd 1.593 2.678 0.000
Pd 1.593 2.678 6.750
Pd 3.186 5.356 6.750
S 3.186 3.555 5.217
S 3.186 3.555 8.283
S 3.186 7.157 5.217
S 3.186 7.157 8.283
```

***

Entry 2:
Entry from OQMD: a relaxed structure of YNiHg2 (PBE-GGA). Values from VASP.

Properties
Energy of formation: -0.178 eV/atom
Magnetization: 0.00 μB/f.u.

```
&SYSTEM
  ibrav = 0, nat = 4, ntyp = 3
/
ATOMIC_SPECIES
Y 88.91 Y.upf
Ni 58.69 Ni.upf
Hg 200.59 Hg.upf
CELL_PARAMETERS angstrom
0.000 3.440 3.440
3.440 0.000 3.440
3.440 3.440 0.000
ATOMIC_POSITIONS angstrom
Y 0.000 0.000 0.000
Ni 5.160 5.160 5.160
Hg 1.720 1.720 1.720
Hg 3.440 3.440 3.440
```

***

Entry 3:
Entry from OQMD: a relaxed structure of CsRbPd (PBE-GGA). Values from VASP.

Properties
E_tot: -2.057 eV per atom

```
&SYSTEM
  ibrav = 0, nat = 3, ntyp = 3
/
ATOMIC_SPECIES
Cs 132.91 Cs.upf
Rb 85.47 Rb.upf
Pd 106.42 Pd.upf
CELL_PARAMETERS angstrom
0.000 4.056 4.056
4.056 0.000 4.056
4.056 4.056 0.000
ATOMIC_POSITIONS angstrom
Cs 0.000 0.000 0.000
Rb 2.028 2.028 2.028
Pd 4.056 4.056 4.056
```

***

Entry 4:
Entry from OQMD: a relaxed structure of TbHo2Tl3CuNi2 (PBE-GGA). Values from VASP.

Properties
E_tot: -4.303 eV per atom
Magnetization: 0.01 μB/f.u.

```
&SYSTEM
  ibrav = 0, nat = 9, ntyp = 5
/
ATOMIC_SPECIES
Tb 158.93 Tb.upf
Ho 164.93 Ho.upf
Tl 204.38 Tl.upf
Cu 63.55 Cu.upf
Ni 58.69 Ni.upf
CELL_PARAMETERS angstrom
3.794 0.000 0.000
0.000 6.559 3.785
0.000 -6.559 3.785
ATOMIC_POSITIONS angstrom
Tb 0.000 0.000 0.000
Ho 0.000 -2.693 4.659
Ho 0.000 2.693 4.659
Tl 1.897 -1.741 2.108
Tl 1.897 1.741 2.108
Tl 1.897 0.000 5.104
Cu 0.000 0.000 3.111
Ni 1.897 -4.362 3.106
Ni 1.897 4.362 3.106
```

***

Entry 5:
Entry from OQMD: a relaxed structure of ZrReSi (PBE-GGA). Values from VASP.

Properties
E_tot: -8.789 eV per atom
Magnetization: 0.00 μB/f.u.

```
&SYSTEM
  ibrav = 0, nat = 3, ntyp = 3
/
ATOMIC_SPECIES
Zr 91.22 Zr.upf
Re 186.21 Re.upf
Si 28.09 Si.upf
CELL_PARAMETERS angstrom
0.000 3.012 3.012
3.012 0.000 3.012
3.012 3.012 0.000
ATOMIC_POSITIONS angstrom
Zr 0.000 0.000 0.000
Re 3.012 3.012 3.012
Si 4.519 4.519 4.519
```

***

Entry 6:
Entry from OQMD: a relaxed structure of HgIrSeO (PBE-GGA). Values from VASP.

Properties
Energy above the most stable polymorph in this dataset: 0 meV/atom
Magnetization: 0.00 μB/f.u.

```
&SYSTEM
  ibrav = 0, nat = 16, ntyp = 4
/
ATOMIC_SPECIES
Hg 200.59 Hg.upf
Ir 192.22 Ir.upf
Se 78.96 Se.upf
O 16.00 O.upf
CELL_PARAMETERS angstrom
7.482 0.000 0.000
0.000 6.752 0.000
-0.196 0.000 5.952
ATOMIC_POSITIONS angstrom
Hg 0.390 1.379 2.827
Hg 0.292 1.997 5.803
Hg 6.994 4.755 0.149
Hg 6.896 5.373 3.126
Ir 3.496 4.234 4.527
Ir 3.594 5.893 1.551
Ir 3.692 0.858 4.402
Ir 3.790 2.517 1.425
Se 2.175 4.054 2.511
Se 2.077 6.074 5.487
Se 5.209 0.678 0.465
Se 5.111 2.698 3.441
O 2.904 0.884 2.376
O 2.806 2.492 5.352
O 4.480 4.260 0.600
O 4.382 5.868 3.576
```

***

Entry 7:
Entry from OQMD: a relaxed structure of HgPbSO (PBE-GGA). Values from VASP.

Properties
Energy above the most stable polymorph in this dataset: 307 meV/atom

```
&SYSTEM
  ibrav = 0, nat = 8, ntyp = 4
/
ATOMIC_SPECIES
Hg 200.59 Hg.upf
Pb 207.20 Pb.upf
S 32.06 S.upf
O 16.00 O.upf
CELL_PARAMETERS angstrom
1.879 -6.984 0.000
1.879 6.984 0.000
0.000 0.000 6.108
ATOMIC_POSITIONS angstrom
Hg 1.879 5.952 4.581
Hg 1.879 -5.952 1.527
Pb 1.879 1.939 4.581
Pb 1.879 -1.939 1.527
S 1.879 2.893 1.527
S 1.879 -2.893 4.581
O 1.879 0.000 0.000
O 1.879 0.000 3.054
```

***

Entry 8:
Entry from OQMD: a relaxed structure of BeHgPO (PBE-GGA). Values from VASP.

Properties
Energy above the most stable polymorph in this dataset: 20 meV/atom

```
&SYSTEM
  ibrav = 0, nat = 8, ntyp = 4
/
ATOMIC_SPECIES
Be 9.01 Be.upf
Hg 200.59 Hg.upf
P 30.97 P.upf
O 16.00 O.upf
CELL_PARAMETERS angstrom
3.481 0.000 0.000
0.000 6.630 0.000
0.000 0.000 5.325
ATOMIC_POSITIONS angstrom
Be 0.000 0.647 0.000
Be 0.000 5.983 2.663
Hg 1.741 2.063 2.146
Hg 1.741 4.566 4.809
P 1.741 2.073 4.708
P 1.741 4.557 2.046
O 0.000 0.414 1.551
O 0.000 6.215 4.214
```

***

Entry 9:
Entry from OQMD: a relaxed structure of CsEr2Cu3Te4S (PBE-GGA). Values from VASP.

Properties
E_tot: -4.340 eV per atom
Magnetization: 0.00 μB/f.u.

```
&SYSTEM
  ibrav = 0, nat = 22, ntyp = 5
/
ATOMIC_SPECIES
Cs 132.91 Cs.upf
Er 167.26 Er.upf
Cu 63.55 Cu.upf
Te 127.60 Te.upf
S 32.06 S.upf
CELL_PARAMETERS angstrom
2.136 -7.808 0.000
2.136 7.808 0.000
0.000 0.000 17.820
ATOMIC_POSITIONS angstrom
Cs 2.136 6.670 13.365
Cs 2.136 -6.670 4.455
Er 2.136 4.758 1.819
Er 2.136 4.758 7.091
Er 2.136 -4.758 10.729
Er 2.136 -4.758 16.001
Cu 2.136 2.598 13.365
Cu 2.136 1.271 0.442
Cu 2.136 1.271 8.468
Cu 2.136 -1.271 9.352
Cu 2.136 -1.271 17.378
Cu 2.136 -2.598 4.455
Te 2.136 5.206 10.129
Te 2.136 5.206 16.602
Te 2.136 0.912 11.065
Te 2.136 0.912 15.665
Te 2.136 -0.912 2.155
Te 2.136 -0.912 6.755
Te 2.136 -5.206 1.219
Te 2.136 -5.206 7.691
S 2.136 4.195 4.455
S 2.136 -4.195 13.365
```

***

Entry 10:
Entry from OQMD: a relaxed structure of Cs2ThS3 (PBE-GGA). Values from VASP.

Properties
E_tot: -5.075 eV per atom
Magnetization: 0.01 μB/f.u.

```
&SYSTEM
  ibrav = 0, nat = 6, ntyp = 3
/
ATOMIC_SPECIES
Cs 132.91 Cs.upf
Th 232.04 Th.upf
S 32.06 S.upf
CELL_PARAMETERS angstrom
2.138 -9.737 0.000
2.138 9.737 0.000
0.000 0.000 5.996
ATOMIC_POSITIONS angstrom
Cs 2.138 6.976 0.000
Cs 2.138 -6.976 0.000
Th 2.138 0.000 2.998
S 2.138 7.962 2.998
S 2.138 0.000 0.000
S 2.138 -7.962 2.998
```

***

Entry 11:
Entry from OQMD: a relaxed structure of NaTmGaSe3 (PBE-GGA). Values from VASP.

Properties
E_tot: -4.320 eV per atom
Magnetization: 0.01 μB/f.u.

```
&SYSTEM
  ibrav = 0, nat = 12, ntyp = 4
/
ATOMIC_SPECIES
Na 22.99 Na.upf
Tm 168.93 Tm.upf
Ga 69.72 Ga.upf
Se 78.96 Se.upf
CELL_PARAMETERS angstrom
2.230 -6.632 0.000
2.230 6.632 0.000
0.000 0.000 10.734
ATOMIC_POSITIONS angstrom
Na 2.230 3.374 8.050
Na 2.230 -3.374 2.683
Tm 0.000 0.000 0.000
Tm 0.000 0.000 5.367
Ga 2.230 0.144 2.683
Ga 2.230 -0.144 8.050
Se 2.230 5.588 2.683
Se 2.230 1.749 0.727
Se 2.230 1.749 4.640
Se 2.230 -1.749 6.094
Se 2.230 -1.749 10.007
Se 2.230 -5.588 8.050
```

***

Entry 12:
Entry from OQMD: a relaxed structure of Li2Cd2Ga2PtAu (PBE-GGA). Values from VASP.

Properties
E_tot: -3.040 eV per atom
Magnetization: 0.00 μB/f.u.

```
&SYSTEM
  ibrav = 0, nat = 8, ntyp = 5
/
ATOMIC_SPECIES
Li 6.94 Li.upf
Cd 112.41 Cd.upf
Ga 69.72 Ga.upf
Pt 195.08 Pt.upf
Au 196.97 Au.upf
CELL_PARAMETERS angstrom
4.534 0.000 0.000
0.000 4.534 0.000
0.000 0.000 6.494
ATOMIC_POSITIONS angstrom
Li 0.000 0.000 0.000
Li 2.267 2.267 3.247
Cd 0.000 2.267 1.602
Cd 2.267 0.000 4.892
Ga 0.000 2.267 4.978
Ga 2.267 0.000 1.516
Pt 2.267 2.267 0.000
Au 0.000 0.000 3.247
```

***

Entry 13:
Entry from OQMD: a relaxed structure of Sc2Nb4C3S3 (PBE-GGA). Values from VASP.

Properties
E_tot: -8.787 eV per atom
Magnetization: 0.00 μB/f.u.

```
&SYSTEM
  ibrav = 0, nat = 24, ntyp = 4
/
ATOMIC_SPECIES
Sc 44.96 Sc.upf
Nb 92.91 Nb.upf
C 12.01 C.upf
S 32.06 S.upf
CELL_PARAMETERS angstrom
4.994 -2.895 0.000
4.994 2.895 0.000
-3.305 0.000 11.719
ATOMIC_POSITIONS angstrom
Sc 2.532 2.424 7.104
Sc 2.500 2.424 10.475
Sc 4.184 -2.424 1.245
Sc 4.152 -2.424 4.615
Nb 2.473 0.468 1.101
Nb 2.507 0.510 4.760
Nb 0.821 -0.468 6.961
Nb 0.855 -0.510 10.620
Nb 5.829 0.510 1.100
Nb 5.863 0.468 4.759
Nb 4.177 -0.510 6.960
Nb 4.211 -0.468 10.618
C 0.845 1.447 5.860
C 4.157 1.440 0.000
C 4.179 1.440 5.860
C 2.497 -1.447 0.000
C 2.505 -1.440 5.860
C 5.832 -1.440 0.000
S -0.778 0.504 8.795
S 0.875 -0.504 2.935
S 2.516 0.441 8.790
S 4.168 -0.441 2.930
S 5.809 0.504 8.784
S 7.462 -0.504 2.924
```

***

Entry 14:
Entry from OQMD: a relaxed structure of LuTlFePt (PBE-GGA). Values from VASP.

Properties
Energy above the most stable polymorph in this dataset: 0 meV/atom
Magnetization: 2.14 μB/f.u.

```
&SYSTEM
  ibrav = 0, nat = 4, ntyp = 4
/
ATOMIC_SPECIES
Lu 174.97 Lu.upf
Tl 204.38 Tl.upf
Fe 55.84 Fe.upf
Pt 195.08 Pt.upf
CELL_PARAMETERS angstrom
0.000 3.300 3.300
3.300 0.000 3.300
3.300 3.300 0.000
ATOMIC_POSITIONS angstrom
Lu 0.000 0.000 0.000
Tl 3.300 3.300 3.300
Fe 4.950 4.950 4.950
Pt 1.650 1.650 1.650
```

***

Entry 15:
Entry from OQMD: a relaxed structure of NdMg20Ni2 (PBE-GGA). Values from VASP.

Properties
E_tot: -2.106 eV per atom
Magnetization: 0.02 μB/f.u.

```
&SYSTEM
  ibrav = 0, nat = 46, ntyp = 3
/
ATOMIC_SPECIES
Nd 144.24 Nd.upf
Mg 24.30 Mg.upf
Ni 58.69 Ni.upf
CELL_PARAMETERS angstrom
-5.597 5.597 7.892
5.597 -5.597 7.892
5.597 5.597 -7.892
ATOMIC_POSITIONS angstrom
Nd 5.597 2.798 1.973
Nd 0.000 2.798 5.919
Mg 5.597 0.000 0.000
Mg 5.597 2.798 -3.834
Mg 1.519 -1.280 1.973
Mg 9.675 -1.280 1.973
Mg 4.109 2.798 -1.254
Mg 7.085 2.798 -1.254
Mg 2.586 1.286 0.915
Mg 4.084 -0.213 3.031
Mg 7.109 -0.213 3.031
Mg 8.608 1.286 0.915
Mg 0.000 2.798 0.112
Mg 1.519 4.317 -1.973
Mg 4.078 -1.280 5.919
Mg 0.000 1.310 2.692
Mg 4.084 5.384 -3.031
Mg 1.512 -0.213 4.861
Mg 2.586 4.311 0.915
Mg 3.011 -1.286 8.807
Mg 5.597 1.310 5.200
Mg -2.798 2.798 3.946
Mg 0.000 0.000 7.892
Mg 2.798 2.798 3.946
Mg 0.000 4.286 2.692
Mg 2.586 6.883 -0.915
Mg 3.011 1.286 6.977
Mg 4.084 5.810 3.031
Mg 1.512 0.213 10.923
Mg 5.597 4.286 5.200
Mg 1.519 6.877 1.973
Mg 4.078 1.280 9.865
Mg 5.597 2.798 7.780
Mg -3.011 4.311 6.977
Mg -1.512 5.810 4.861
Mg 1.512 5.810 4.861
Mg 3.011 4.311 6.977
Mg -1.488 2.798 9.146
Mg 1.488 2.798 9.146
Mg -4.078 6.877 5.919
Mg 4.078 6.877 5.919
Mg 0.000 2.798 11.726
Ni 0.000 0.000 0.000
Ni 2.798 2.798 -3.946
Ni 2.798 -2.798 3.946
Ni 0.000 5.597 0.000
```

***

Entry 16:
Entry from OQMD: a relaxed structure of BaLiNdTe3 (PBE-GGA). Values from VASP.

Properties
E_tot: -4.487 eV per atom
Magnetization: 0.00 μB/f.u.

```
&SYSTEM
  ibrav = 0, nat = 24, ntyp = 4
/
ATOMIC_SPECIES
Ba 137.33 Ba.upf
Li 6.94 Li.upf
Nd 144.24 Nd.upf
Te 127.60 Te.upf
CELL_PARAMETERS angstrom
11.785 0.000 0.000
0.000 4.606 0.000
0.000 0.000 15.049
ATOMIC_POSITIONS angstrom
Ba 2.900 1.151 0.007
Ba 2.993 3.454 7.532
Ba 8.793 1.151 7.517
Ba 8.885 3.454 15.042
Li 2.909 3.454 3.341
Li 2.983 1.151 10.866
Li 8.802 3.454 4.183
Li 8.876 1.151 11.708
Nd 0.044 3.454 11.273
Nd 5.849 1.151 3.749
Nd 5.936 3.454 11.300
Nd 11.741 1.151 3.776
Te 0.692 3.454 1.674
Te 0.777 1.151 9.182
Te 2.908 1.151 4.897
Te 2.984 3.454 12.422
Te 5.115 3.454 1.657
Te 5.201 1.151 9.199
Te 6.584 3.454 5.850
Te 6.670 1.151 13.392
Te 8.801 1.151 2.627
Te 8.877 3.454 10.152
Te 11.008 3.454 5.868
Te 11.094 1.151 13.375
```